MnBr | PBE | relaxed

a b c (Å): 3.573 3.573 8.370
angles (deg): 90.00 90.00 120.00
Site moments in Bohr magnetons follow the coordinates.
Fractional positions:
Br (0.667, 0.333, 0.191)  0.05
Mn (0.667, 0.333, 0.891)  3.91
Mn (0.333, 0.667, 0.391)  3.91
Br (0.333, 0.667, 0.691)  0.05

Values from the calculation:
energy relative to the elements, uncorrected: 127.4 meV per atom
D(E_F): 0.163 states/eV/atom